(1)
Below is a relaxed structure of Rb2SeI2Br4, with properties calculated at the PBE level.

POSCAR file:
```
Rb2SeI2Br4
1.0
-0.3223 -6.2022 -4.4412
2.0853 -1.8526 7.1074
-6.8501 3.3326 0.5146
I Br Rb Se
2 4 2 1
Cartesian
-3.1495 0.9782 5.0381 I
-1.6153 0.5017 2.5839 I
0.1822 -0.7483 5.7033 Br
-1.1521 -2.3267 -0.2684 Br
-4.9471 2.2283 1.9187 Br
-3.9350 -2.3955 3.4492 Br
-0.3097 -3.6574 3.2386 Rb
-4.7774 -1.0648 -0.0578 Rb
0.0000 0.0000 0.0000 Se
```

raw total energy: -2.50 eV per atom

(2)
Below is a relaxed structure of BaAlB2Ir, with properties calculated at the PBE level.

POSCAR file:
```
BaAlB2Ir
1.0
-2.9939 -1.0404 -2.8883
-3.9151 -0.8184 4.3531
-1.1660 4.1174 -0.2746
B Al Ir Ba
2 1 1 1
Cartesian
-0.5830 2.0587 -0.1373 B
-1.4969 -0.5202 -1.4441 B
-4.0375 1.1293 0.5951 Al
0.0000 0.0000 0.0000 Ir
-1.9576 -0.4092 2.1765 Ba
```

raw total energy: -4.74 eV per atom
energy relative to the elements: 0.84 eV per atom

(3)
Below is a relaxed structure of Cs2Sb2Se, with properties calculated at the PBE level.

POSCAR file:
```
Cs2Sb2Se
1.0
7.9476 0.0000 0.0000
0.0000 7.9476 0.0000
0.0000 0.0000 6.1738
Cs Sb Se
4 4 2
Cartesian
6.5415 2.5677 3.0869 Cs
2.5677 1.4061 3.0869 Cs
5.3800 6.5415 3.0869 Cs
1.4061 5.3800 3.0869 Cs
5.0093 1.0355 0.0000 Sb
6.9122 5.0093 0.0000 Sb
1.0355 2.9384 0.0000 Sb
2.9384 6.9122 0.0000 Sb
0.0000 0.0000 0.0000 Se
3.9738 3.9738 0.0000 Se
```

raw total energy: -3.00 eV per atom
polymorph energy (0 for the lowest one): 0.78 eV/f.u.

(4)
Below is a relaxed structure of AcCe4Nd, with properties calculated at the PBE level.

POSCAR file:
```
AcCe4Nd
1.0
-1.8354 4.8108 -3.8995
-5.4792 3.2075 1.1867
0.2209 6.1095 2.0841
Ce Nd Ac
4 1 1
Cartesian
-4.5809 5.7275 -1.4764 Ce
-1.6255 7.2321 -1.0111 Ce
-4.4663 8.8951 -0.3959 Ce
-3.5148 6.4008 1.6259 Ce
0.0000 0.0000 0.0000 Nd
-1.7734 3.5319 -0.1572 Ac
```

raw total energy: -5.24 eV per atom
energy relative to the elements: 0.19 eV per atom

(5)
Below is a relaxed structure of TiVSbI2, with properties calculated at the PBE level.

POSCAR file:
```
TiVSbI2
1.0
5.3704 0.0000 0.0000
0.0000 5.3704 0.0000
0.0000 0.0000 5.3419
Sb I V Ti
1 2 1 1
Cartesian
0.0000 0.0000 2.6710 Sb
2.6852 0.0000 0.0000 I
0.0000 2.6852 0.0000 I
0.0000 0.0000 0.0000 V
2.6852 2.6852 2.6710 Ti
```

raw total energy: -4.13 eV per atom
polymorph energy (0 for the lowest one): 0.00 eV/f.u.

(6)
Below is a relaxed structure of Dy3Ho6Zr, with properties calculated at the PBE level.

POSCAR file:
```
Dy3Ho6Zr
1.0
-4.5705 -1.6584 0.4720
-0.0141 -3.0717 -10.9301
8.5767 -8.6044 2.4071
Ho Zr Dy
12 2 6
Cartesian
3.1395 -9.5869 -3.2029 Ho
1.1434 -2.9215 0.8160 Ho
2.8487 -10.4130 -8.8671 Ho
3.9949 -12.4551 -4.9335 Ho
4.8740 -6.8917 -2.2257 Ho
1.9909 -7.5406 -7.1447 Ho
2.0012 -5.7939 -0.9063 Ho
-0.0028 -0.8793 -3.1175 Ho
5.6888 -10.5449 -7.0968 Ho
0.8526 -3.7476 -4.8481 Ho
-0.8819 -6.4427 -5.8253 Ho
-1.6967 -2.7896 -0.9543 Ho
1.9960 -6.6672 -4.0255 Zr
0.0000 0.0000 0.0000 Zr
4.2883 -4.3022 1.2035 Dy
4.8733 -7.8099 -5.4586 Dy
-0.8812 -5.5245 -2.5925 Dy
5.6952 -8.3735 0.5954 Dy
-2.2923 -2.3651 -5.2291 Dy
-1.7031 -4.9610 -8.6465 Dy
```

raw total energy: -4.77 eV per atom
polymorph energy (0 for the lowest one): 0.57 eV/f.u.
energy relative to the elements: 0.21 eV per atom